6
Lattice="3.4865 0.0000 0.0000 0.0000 3.4865 0.0000 0.0000 0.0000 12.4886" Properties=species:S:1:pos:R:3 comment="KTcSb (meta-GGA SCAN, single point on PBEsol structure)" raw_formation_energy_ev_per_atom=0.3606 space_group="No. 107" final_energy_ev_per_atom=-26.52 pbc="T T T"
K 0.0000 0.0000 0.0000
K 1.7433 1.7433 6.2443
Tc 0.0000 0.0000 3.6260
Tc 1.7433 1.7433 9.8703
Sb 0.0000 0.0000 8.9614
Sb 1.7433 1.7433 2.7171

=====

5
Lattice="5.7417 0.0000 0.0000 0.0000 5.7417 0.0000 0.0000 0.0000 5.7417" Properties=species:S:1:pos:R:3 comment="KSbTe3 (meta-GGA SCAN, single point on PBEsol structure)" raw_formation_energy_ev_per_atom=1.0969 space_group="No. 221" final_energy_ev_per_atom=-30.37 pbc="T T T"
K 0.0000 0.0000 0.0000
Sb 2.8708 2.8708 2.8708
Te 0.0000 0.0000 2.8708
Te 0.0000 2.8708 0.0000
Te 2.8708 0.0000 0.0000

=====

11
Lattice="-4.1457 4.1457 8.3506 4.1457 -4.1457 8.3506 4.1457 4.1457 -8.3506" Properties=species:S:1:pos:R:3 comment="K8Sb2Te (meta-GGA SCAN, single point on PBEsol structure)" raw_formation_energy_ev_per_atom=-0.5954 space_group="No. 119" final_energy_ev_per_atom=-16.81 pbc="T T T"
K 1.9102 1.8858 -2.2442
K 6.3811 1.8858 -2.2442
K 1.8858 1.9102 2.2442
K 2.2598 -2.2354 10.5948
K -2.2354 2.2598 6.1064
K 2.2354 2.2598 6.1064
K 1.8858 6.3811 2.2442
K 2.2598 2.2354 10.5948
Sb 0.0000 0.0000 0.0000
Sb 0.0000 4.1457 4.1753
Te 4.1457 0.0000 4.1753

=====

5
Lattice="5.7077 0.0000 0.0000 0.0000 5.7077 0.0000 0.0000 0.0000 5.3995" Properties=species:S:1:pos:R:3 comment="KYSbTe2 (meta-GGA SCAN, single point on PBEsol structure)" raw_formation_energy_ev_per_atom=0.5241 space_group="No. 123" final_energy_ev_per_atom=-29.06 pbc="T T T"
K 0.0000 0.0000 0.0000
Y 2.8539 2.8539 2.6998
Sb 0.0000 0.0000 2.6998
Te 0.0000 2.8539 0.0000
Te 2.8539 0.0000 0.0000

=====

8
Lattice="5.5390 0.0000 0.0000 0.0000 5.5390 0.0000 0.0000 0.0000 8.6794" Properties=species:S:1:pos:R:3 comment="K2TlSb (meta-GGA SCAN, single point on PBEsol structure)" raw_formation_energy_ev_per_atom=-0.3430 space_group="No. 119" final_energy_ev_per_atom=-31.91 pbc="T T T"
K 0.0000 0.0000 0.0000
K 0.0000 2.7695 2.1699
K 2.7695 0.0000 6.5096
K 2.7695 2.7695 4.3397
Tl 0.0000 2.7695 6.5096
Tl 2.7695 0.0000 2.1699
Sb 0.0000 0.0000 4.3397
Sb 2.7695 2.7695 0.0000

=====

8
Lattice="7.1146 0.0000 0.0000 0.0000 10.5419 0.0000 0.0000 0.0000 3.4545" Properties=species:S:1:pos:R:3 comment="K2TlSb (meta-GGA SCAN, single point on PBEsol structure)" raw_formation_energy_ev_per_atom=-0.2313 space_group="No. 65" final_energy_ev_per_atom=-31.80 pbc="T T T"
K 1.7786 2.6355 0.0000
K 1.7786 7.9064 0.0000
K 5.3359 2.6355 0.0000
K 5.3359 7.9064 0.0000
Tl 0.0000 0.0000 1.7273
Tl 3.5573 5.2710 1.7273
Sb 0.0000 5.2710 1.7273
Sb 3.5573 0.0000 1.7273

=====

44
Lattice="4.9320 -8.4726 0.0000 4.9320 8.4726 0.0000 -4.7664 0.0000 18.9850" Properties=species:S:1:pos:R:3 comment="K6Tl2Sb3 (meta-GGA SCAN, single point on PBEsol structure)" raw_formation_energy_ev_per_atom=-0.4904 space_group="No. 15" final_energy_ev_per_atom=-28.35 pbc="T T T"
K 1.3572 8.0499 14.2388
K 1.9690 6.8759 10.5255
K 0.0419 4.3344 12.8644
K 0.7454 6.8759 17.9520
K 3.7404 5.0671 4.7463
K 4.1238 3.8511 1.0140
K 2.3987 1.4372 3.3660
K 3.3570 3.8511 8.4785
K 1.4111 1.2605 10.5141
K 2.6725 4.3344 15.6131
K 0.0154 -1.4372 12.8585
K 3.7943 -1.2605 1.0216
K 1.3033 1.2605 17.9634
K 5.0822 1.4372 6.1265
K 2.4252 -4.3344 3.3719
K 3.6865 -1.2605 8.4709
K 1.7406 -3.8511 10.5065
K 2.6990 -1.4372 15.6190
K 0.9738 -3.8511 17.9710
K 1.3572 -5.0671 14.2388
K 4.3522 -6.8759 1.0330
K 5.0557 -4.3344 6.1206
K 3.1286 -6.8759 8.4595
K 3.7404 -8.0499 4.7463
Tl -2.3707 1.4407 17.6475
Tl -0.1887 1.4475 14.6559
Tl 0.0125 -1.4407 8.1550
Tl 2.1945 -1.4475 5.1634
Tl 2.9031 1.4475 13.8216
Tl 5.0851 1.4407 10.8300
Tl 5.2863 -1.4475 4.3291
Tl 7.4683 -1.4407 1.3375
Sb -1.8130 1.5000 11.9750
Sb -0.7508 3.8761 16.4148
Sb 0.5702 -1.5000 2.4825
Sb 1.5616 1.0286 6.8694
Sb -0.8216 -1.0286 16.3619
Sb 3.4652 3.8761 12.0627
Sb 1.6324 -3.8761 6.9223
Sb 5.9192 1.0286 2.6231
Sb 3.5360 -1.0286 12.1156
Sb 4.5274 1.5000 16.5026
Sb 5.8484 -3.8761 2.5702
Sb 6.9107 -1.5000 7.0100

=====

4
Lattice="5.2876 0.0000 0.0000 0.0000 4.6022 0.0000 -2.6365 0.0000 6.4119" Properties=species:S:1:pos:R:3 comment="K2TlSb (meta-GGA SCAN, single point on PBEsol structure)" raw_formation_energy_ev_per_atom=-0.4146 space_group="No. 6" final_energy_ev_per_atom=-31.98 pbc="T T T"
K 0.0000 0.0000 0.0000
K -0.0017 2.3011 3.7214
Tl 2.6436 0.0000 2.7554
Sb 2.6427 2.3011 0.9247

=====

8
Lattice="4.5533 0.0000 0.0000 0.0000 5.6985 0.0000 0.0000 0.0000 10.8967" Properties=species:S:1:pos:R:3 comment="K2TlSb (meta-GGA SCAN, single point on PBEsol structure)" raw_formation_energy_ev_per_atom=-0.4094 space_group="No. 44" final_energy_ev_per_atom=-31.98 pbc="T T T"
K 0.0000 0.0000 0.0000
K 0.0000 2.8492 2.1682
K 2.2766 0.0000 7.6166
K 2.2766 2.8492 5.4484
Tl 0.0000 0.0000 4.7430
Tl 2.2766 2.8492 10.1914
Sb 0.0000 2.8492 8.2684
Sb 2.2766 0.0000 2.8200

=====

8
Lattice="5.7230 0.0000 0.0000 0.0000 5.7230 0.0000 0.0000 0.0000 8.1794" Properties=species:S:1:pos:R:3 comment="K2TlSb (meta-GGA SCAN, single point on PBEsol structure)" raw_formation_energy_ev_per_atom=-0.3140 space_group="No. 139" final_energy_ev_per_atom=-31.88 pbc="T T T"
K 0.0000 2.8615 2.0448
K 0.0000 2.8615 6.1345
K 2.8615 0.0000 2.0448
K 2.8615 0.0000 6.1345
Tl 0.0000 0.0000 0.0000
Tl 2.8615 2.8615 4.0897
Sb 0.0000 0.0000 4.0897
Sb 2.8615 2.8615 0.0000

=====

10
Lattice="8.0077 0.0000 0.0000 0.0000 8.0077 0.0000 0.0000 0.0000 5.4982" Properties=species:S:1:pos:R:3 comment="K2TlSb2 (meta-GGA SCAN, single point on PBEsol structure)" raw_formation_energy_ev_per_atom=-0.3652 space_group="No. 127" final_energy_ev_per_atom=-33.07 pbc="T T T"
K 1.3699 2.6339 0.0000
K 2.6339 6.6378 0.0000
K 5.3738 1.3699 0.0000
K 6.6378 5.3738 0.0000
Tl 0.0000 0.0000 2.7491
Tl 4.0039 4.0039 2.7491
Sb 1.0064 5.0102 2.7491
Sb 2.9975 1.0064 2.7491
Sb 5.0102 7.0014 2.7491
Sb 7.0014 2.9975 2.7491

=====

6
Lattice="3.5730 0.0000 0.0000 0.0000 3.5730 0.0000 0.0000 0.0000 12.7114" Properties=species:S:1:pos:R:3 comment="KSbW (meta-GGA SCAN, single point on PBEsol structure)" raw_formation_energy_ev_per_atom=0.8852 space_group="No. 107" final_energy_ev_per_atom=-37.54 pbc="T T T"
K 0.0000 0.0000 0.0000
K 1.7865 1.7865 6.3557
Sb 0.0000 0.0000 9.1396
Sb 1.7865 1.7865 2.7839
W 0.0000 0.0000 3.6657
W 1.7865 1.7865 10.0214

=====

16
Lattice="7.1576 0.0000 0.0000 0.0000 7.1576 0.0000 0.0000 0.0000 7.1576" Properties=species:S:1:pos:R:3 comment="KSb2W (meta-GGA SCAN, single point on PBEsol structure)" raw_formation_energy_ev_per_atom=1.2698 space_group="No. 216" final_energy_ev_per_atom=-36.86 pbc="T T T"
K 0.0000 0.0000 0.0000
K 0.0000 3.5788 3.5788
K 3.5788 0.0000 3.5788
K 3.5788 3.5788 0.0000
Sb 0.0000 0.0000 3.5788
Sb 0.0000 3.5788 0.0000
Sb 1.7894 1.7894 1.7894
Sb 1.7894 5.3682 5.3682
Sb 3.5788 0.0000 0.0000
Sb 3.5788 3.5788 3.5788
Sb 5.3682 1.7894 5.3682
Sb 5.3682 5.3682 1.7894
W 1.7894 1.7894 5.3682
W 1.7894 5.3682 1.7894
W 5.3682 1.7894 1.7894
W 5.3682 5.3682 5.3682

=====

8
Lattice="3.4439 0.0000 0.0000 0.0000 3.5175 0.0000 0.0000 0.0000 17.5039" Properties=species:S:1:pos:R:3 comment="KSb2W (meta-GGA SCAN, single point on PBEsol structure)" raw_formation_energy_ev_per_atom=0.2531 space_group="No. 44" final_energy_ev_per_atom=-37.88 pbc="T T T"
K 0.0000 0.0000 0.0000
K 1.7219 1.7588 8.7520
Sb 0.0000 0.0000 11.2212
Sb 0.0000 1.7588 14.5691
Sb 1.7219 0.0000 5.8171
Sb 1.7219 1.7588 2.4692
W 0.0000 1.7588 4.5138
W 1.7219 0.0000 13.2657

=====

4
Lattice="4.6395 0.0000 0.0000 0.0000 4.6395 0.0000 0.0000 0.0000 6.1512" Properties=species:S:1:pos:R:3 comment="K2YSb (meta-GGA SCAN, single point on PBEsol structure)" raw_formation_energy_ev_per_atom=-0.2415 space_group="No. 123" final_energy_ev_per_atom=-20.68 pbc="T T T"
K 0.0000 2.3198 0.0000
K 2.3198 0.0000 0.0000
Y 0.0000 0.0000 3.0756
Sb 2.3198 2.3198 3.0756

=====

10
Lattice="4.6744 0.0000 0.0000 0.0000 4.6744 0.0000 0.0000 0.0000 11.4457" Properties=species:S:1:pos:R:3 comment="KZn2Sb2 (meta-GGA SCAN, single point on PBEsol structure)" raw_formation_energy_ev_per_atom=-0.2122 space_group="No. 139" final_energy_ev_per_atom=-22.19 pbc="T T T"
K 0.0000 0.0000 0.0000
K 2.3372 2.3372 5.7229
Zn 0.0000 0.0000 4.5142
Zn 0.0000 0.0000 6.9316
Zn 2.3372 2.3372 1.2087
Zn 2.3372 2.3372 10.2370
Sb 0.0000 2.3372 2.8614
Sb 0.0000 2.3372 8.5843
Sb 2.3372 0.0000 2.8614
Sb 2.3372 0.0000 8.5843

=====

6
Lattice="4.4981 0.0000 0.0000 -2.2491 3.8955 0.0000 0.0000 0.0000 10.4197" Properties=species:S:1:pos:R:3 comment="KZnSb (meta-GGA SCAN, single point on PBEsol structure)" raw_formation_energy_ev_per_atom=-0.4701 space_group="No. 194" final_energy_ev_per_atom=-20.17 pbc="T T T"
K 0.0000 0.0000 0.0000
K 0.0000 0.0000 5.2098
Zn 0.0000 2.5970 2.6049
Zn 2.2491 1.2985 7.8148
Sb 0.0000 2.5970 7.8148
Sb 2.2491 1.2985 2.6049

=====

4
Lattice="3.7016 0.0000 0.0000 0.0000 4.7869 0.0000 0.0000 0.0000 5.5473" Properties=species:S:1:pos:R:3 comment="KZn2Sb (meta-GGA SCAN, single point on PBEsol structure)" raw_formation_energy_ev_per_atom=0.2615 space_group="No. 47" final_energy_ev_per_atom=-17.89 pbc="T T T"
K 0.0000 0.0000 0.0000
Zn 0.0000 2.3935 2.7737
Zn 1.8508 2.3935 0.0000
Sb 1.8508 0.0000 2.7737

=====

4
Lattice="3.7996 0.0000 0.0000 0.0000 3.7996 0.0000 0.0000 0.0000 7.0223" Properties=species:S:1:pos:R:3 comment="KZn2Sb (meta-GGA SCAN, single point on PBEsol structure)" raw_formation_energy_ev_per_atom=0.1219 space_group="No. 123" final_energy_ev_per_atom=-18.03 pbc="T T T"
K 0.0000 0.0000 0.0000
Zn 1.8998 1.8998 2.2217
Zn 1.8998 1.8998 4.8006
Sb 0.0000 0.0000 3.5111

=====

3
Lattice="4.4853 0.0000 0.0000 -2.2426 3.8844 0.0000 0.0000 0.0000 5.2925" Properties=species:S:1:pos:R:3 comment="KZnSb (meta-GGA SCAN, single point on PBEsol structure)" raw_formation_energy_ev_per_atom=-0.4590 space_group="No. 187" final_energy_ev_per_atom=-20.16 pbc="T T T"
K 0.0000 0.0000 0.0000
Zn 2.2426 1.2948 2.6463
Sb 0.0000 2.5896 2.6463